[1]
Crystalline AlCu2SbPd at its relaxed geometry, computed with PBEsol.

```
AlCu2SbPd
1.0
4.6914 0.0000 0.0000
0.0000 4.6914 0.0000
0.0000 0.0000 5.0076
Sb Cu Pd Al
1 2 1 1
Direct
0.0000 0.0000 0.0000
0.0000 0.5000 0.0000
0.5000 0.0000 0.0000
0.0000 0.0000 0.5000
0.5000 0.5000 0.5000
```

For the raw formation energy, the calculation gives 0.6599 eV/atom. Its spin magnetization is 0.0 μB per formula unit.

---

[2]
Crystalline CrTc2Ir at its relaxed geometry, computed with PBEsol.

```
CrTc2Ir
1.0
-2.0861 0.1253 -1.6549
1.6493 -3.6064 -2.3521
-1.4520 -2.1757 3.8127
Cr Ir Tc
1 1 2
Direct
0.5000 0.0000 0.0000
0.0000 0.5000 0.0000
0.2503 0.2445 0.5006
0.7497 0.7555 0.4994
```

The value obtained for the energy above the most stable polymorph in this dataset is 15.4 meV per atom. The formation energy is -0.0021 eV per atom. Its spin magnetization is 0.0 μB per formula unit.

---

[3]
Crystalline YCr4 at its relaxed geometry, computed with PBEsol.

```
YCr4
1.0
3.9712 0.0000 0.0000
0.0000 3.9712 0.0000
-1.9856 -1.9856 4.7255
Cr Y
4 1
Direct
0.2500 0.7500 0.5000
0.3736 0.3736 0.7472
0.6264 0.6264 0.2528
0.7500 0.2500 0.5000
0.0000 0.0000 0.0000
```

The formation energy is 0.3951 eV per atom. Its spin magnetization is 0.0 μB per formula unit.

---

What is the spin magnetization in the third record?
0.0 μB per formula unit

---

What is the spin magnetization in the second record?
0.0 μB per formula unit

---

What did the first record say?
Crystalline AlCu2SbPd at its relaxed geometry, computed with PBEsol.

```
AlCu2SbPd
1.0
4.6914 0.0000 0.0000
0.0000 4.6914 0.0000
0.0000 0.0000 5.0076
Sb Cu Pd Al
1 2 1 1
Direct
0.0000 0.0000 0.0000
0.0000 0.5000 0.0000
0.5000 0.0000 0.0000
0.0000 0.0000 0.5000
0.5000 0.5000 0.5000
```

For the raw formation energy, the calculation gives 0.6599 eV/atom. Its spin magnetization is 0.0 μB per formula unit.